# 1
Material: RePdNF2
Method: DFT, PBE-GGA
State: optimized geometry

Output
Total magnetization, μB/f.u.: 4.148
Volume, Å³/f.u.: 71.19
Formation energy (no corrections), kJ/mol of atoms: 83
VASP energy, eV/atom: -5.079
Energy relative to the lowest polymorph listed for this composition, eV per formula unit: 5.34

Unit cell a=4.169 b=4.169 c=4.095 alpha=90.00 beta=90.00 gamma=90.00
Fractional positions:
Re1 0.000 0.000 0.000
Pd1 0.500 0.500 0.500
N1 0.500 0.500 0.000
F1 0.000 0.500 0.500
F2 0.500 0.000 0.500

---

# 2
Material: Rb5SmS4
Method: DFT, PBE-GGA
State: optimized geometry

Output
Total magnetization, μB/f.u.: 0.000
Volume, Å³/f.u.: 359.41
Formation energy (no corrections), kJ/mol of atoms: -116
VASP energy, eV/atom: -3.807

Unit cell a=10.343 b=10.343 c=8.604 alpha=114.45 beta=114.45 gamma=25.55
Fractional positions:
Rb1 0.000 0.000 0.000
Rb2 0.330 0.330 0.083
Rb3 0.330 0.330 0.581
Rb4 0.670 0.670 0.419
Rb5 0.670 0.670 0.917
Sm1 0.000 0.000 0.500
S1 0.162 0.162 0.661
S2 0.500 0.500 0.282
S3 0.500 0.500 0.718
S4 0.838 0.838 0.339

---

# 3
Material: Li2Ca2Sc
Method: DFT, PBE-GGA
State: optimized geometry

Output
Total magnetization, μB/f.u.: 0.000
Volume, Å³/f.u.: 146.60
ΔH_f (0 K), eV/f.u.: 0.93
VASP energy, eV/atom: -2.647
Energy relative to the lowest polymorph listed for this composition, eV per formula unit: 0.00

Unit cell a=8.255 b=8.255 c=4.303 alpha=90.00 beta=90.00 gamma=90.00
Fractional positions:
Li1 0.121 0.379 0.000
Li2 0.379 0.879 0.000
Li3 0.621 0.121 0.000
Li4 0.879 0.621 0.000
Ca1 0.179 0.679 0.500
Ca2 0.321 0.179 0.500
Ca3 0.679 0.821 0.500
Ca4 0.821 0.321 0.500
Sc1 0.000 0.000 0.000
Sc2 0.500 0.500 0.000

---

# 4
Material: TiSN2F
Method: DFT, PBE-GGA
State: optimized geometry

Output
Total magnetization, μB/f.u.: 1.309
Volume, Å³/f.u.: 73.34
Formation energy (no corrections), kJ/mol of atoms: 48
VASP energy, eV/atom: -5.609
Energy relative to the lowest polymorph listed for this composition, eV per formula unit: 2.34

Unit cell a=3.838 b=3.838 c=4.980 alpha=90.00 beta=90.00 gamma=90.00
Fractional positions:
Ti1 0.000 0.000 0.000
S1 0.000 0.000 0.500
N1 0.000 0.500 0.000
N2 0.500 0.000 0.000
F1 0.500 0.500 0.500

---

# 5
Material: Cs2ScMnCl6
Method: DFT, PBE-GGA
State: optimized geometry

Output
Total magnetization, μB/f.u.: 4.000
Volume, Å³/f.u.: 275.61
Formation energy (no corrections), kJ/mol of atoms: -166
VASP energy, eV/atom: -4.544

Unit cell a=7.305 b=7.305 c=7.305 alpha=60.00 beta=60.00 gamma=60.00
Fractional positions:
Cs1 0.250 0.250 0.250
Cs2 0.750 0.750 0.750
Sc1 0.000 0.000 0.000
Mn1 0.500 0.500 0.500
Cl1 0.249 0.249 0.751
Cl2 0.249 0.751 0.249
Cl3 0.249 0.751 0.751
Cl4 0.751 0.249 0.249
Cl5 0.751 0.249 0.751
Cl6 0.751 0.751 0.249

---

# 6
Material: BaSrGePt
Method: DFT, PBE-GGA
State: optimized geometry

Output
Total magnetization, μB/f.u.: 0.000
Volume, Å³/f.u.: 146.52
ΔH_f (0 K), eV/f.u.: -2.81
VASP energy, eV/atom: -4.268

Unit cell a=8.774 b=8.774 c=8.774 alpha=29.67 beta=29.67 gamma=29.67
Fractional positions:
Ba1 0.000 0.000 0.000
Sr1 0.162 0.162 0.162
Ge1 0.418 0.418 0.418
Pt1 0.752 0.752 0.752

---

# 7
Material: Cr2FeCuC
Method: DFT, PBE-GGA
State: optimized geometry

Output
Total magnetization, μB/f.u.: 4.022
Volume, Å³/f.u.: 55.36
ΔH_f (0 K), eV/f.u.: 1.08
VASP energy, eV/atom: -7.989

Unit cell a=3.850 b=3.850 c=3.735 alpha=90.00 beta=90.00 gamma=90.00
Fractional positions:
Cr1 0.000 0.500 0.000
Cr2 0.500 0.000 0.000
Fe1 0.000 0.000 0.500
Cu1 0.500 0.500 0.500
C1 0.000 0.000 0.000

---

# 8
Material: SnPPt
Method: DFT, PBE-GGA
State: optimized geometry

Output
Total magnetization, μB/f.u.: 0.000
Volume, Å³/f.u.: 58.83
ΔH_f (0 K), eV/f.u.: -1.30
VASP energy, eV/atom: -5.584
Energy relative to the lowest polymorph listed for this composition, eV per formula unit: 0.22

Unit cell a=6.174 b=6.174 c=6.174 alpha=90.00 beta=90.00 gamma=90.00
Fractional positions:
Sn1 0.126 0.374 0.626
Sn2 0.374 0.626 0.126
Sn3 0.626 0.126 0.374
Sn4 0.874 0.874 0.874
P1 0.118 0.118 0.118
P2 0.382 0.882 0.618
P3 0.618 0.382 0.882
P4 0.882 0.618 0.382
Pt1 0.032 0.968 0.468
Pt2 0.468 0.032 0.968
Pt3 0.532 0.532 0.532
Pt4 0.968 0.468 0.032

---

# 9
Material: La3Sm4Y4
Method: DFT, PBE-GGA
State: optimized geometry

Output
Total magnetization, μB/f.u.: 0.000
Volume, Å³/f.u.: 384.19
ΔH_f (0 K), eV/f.u.: 1.64
VASP energy, eV/atom: -5.262
Energy relative to the lowest polymorph listed for this composition, eV per formula unit: 0.00

Unit cell a=10.802 b=6.776 c=6.776 alpha=50.77 beta=90.00 gamma=90.00
Fractional positions:
La1 0.000 0.000 0.000
La2 0.294 0.151 0.151
La3 0.706 0.151 0.151
Sm1 0.000 0.703 0.703
Sm2 0.214 0.499 0.499
Sm3 0.500 0.630 0.630
Sm4 0.786 0.499 0.499
Y1 0.000 0.303 0.303
Y2 0.299 0.848 0.848
Y3 0.500 0.360 0.360
Y4 0.701 0.848 0.848

---

# 10
Material: Ca2FeBiPd
Method: DFT, PBE-GGA
State: optimized geometry

Output
Total magnetization, μB/f.u.: 3.008
Volume, Å³/f.u.: 182.01
ΔH_f (0 K), eV/f.u.: 2.86
VASP energy, eV/atom: -3.737

Unit cell a=5.977 b=5.977 c=5.094 alpha=90.00 beta=90.00 gamma=90.00
Fractional positions:
Ca1 0.000 0.500 0.000
Ca2 0.500 0.000 0.000
Fe1 0.000 0.000 0.500
Bi1 0.500 0.500 0.000
Pd1 0.500 0.500 0.500

---

# 11
Material: Na3PdCl
Method: DFT, PBE-GGA
State: optimized geometry

Output
Total magnetization, μB/f.u.: 0.000
Volume, Å³/f.u.: 159.69
Formation energy (no corrections), kJ/mol of atoms: -38
VASP energy, eV/atom: -2.596
Energy relative to the lowest polymorph listed for this composition, eV per formula unit: 0.37

Unit cell a=5.425 b=5.425 c=5.425 alpha=90.00 beta=90.00 gamma=90.00
Fractional positions:
Na1 0.000 0.000 0.500
Na2 0.000 0.500 0.000
Na3 0.500 0.000 0.000
Pd1 0.000 0.000 0.000
Cl1 0.500 0.500 0.500

---

# 12
Material: BaNiP2
Method: DFT, PBE-GGA
State: optimized geometry

Output
Total magnetization, μB/f.u.: 0.000
Volume, Å³/f.u.: 91.13
ΔH_f (0 K), eV/f.u.: -2.28
VASP energy, eV/atom: -5.201

Unit cell a=4.288 b=4.145 c=5.132 alpha=90.00 beta=92.31 gamma=90.00
Fractional positions:
Ba1 0.000 0.000 0.000
Ni1 0.355 0.500 0.581
P1 0.533 0.000 0.466
P2 0.854 0.500 0.491

---

Please write out number 1 again, unchanged.
Material: RePdNF2
Method: DFT, PBE-GGA
State: optimized geometry

Output
Total magnetization, μB/f.u.: 4.148
Volume, Å³/f.u.: 71.19
Formation energy (no corrections), kJ/mol of atoms: 83
VASP energy, eV/atom: -5.079
Energy relative to the lowest polymorph listed for this composition, eV per formula unit: 5.34

Unit cell a=4.169 b=4.169 c=4.095 alpha=90.00 beta=90.00 gamma=90.00
Fractional positions:
Re1 0.000 0.000 0.000
Pd1 0.500 0.500 0.500
N1 0.500 0.500 0.000
F1 0.000 0.500 0.500
F2 0.500 0.000 0.500

---

Copy entry 12 word for word.
Material: BaNiP2
Method: DFT, PBE-GGA
State: optimized geometry

Output
Total magnetization, μB/f.u.: 0.000
Volume, Å³/f.u.: 91.13
ΔH_f (0 K), eV/f.u.: -2.28
VASP energy, eV/atom: -5.201

Unit cell a=4.288 b=4.145 c=5.132 alpha=90.00 beta=92.31 gamma=90.00
Fractional positions:
Ba1 0.000 0.000 0.000
Ni1 0.355 0.500 0.581
P1 0.533 0.000 0.466
P2 0.854 0.500 0.491

---

What did the first record say?
Material: RePdNF2
Method: DFT, PBE-GGA
State: optimized geometry

Output
Total magnetization, μB/f.u.: 4.148
Volume, Å³/f.u.: 71.19
Formation energy (no corrections), kJ/mol of atoms: 83
VASP energy, eV/atom: -5.079
Energy relative to the lowest polymorph listed for this composition, eV per formula unit: 5.34

Unit cell a=4.169 b=4.169 c=4.095 alpha=90.00 beta=90.00 gamma=90.00
Fractional positions:
Re1 0.000 0.000 0.000
Pd1 0.500 0.500 0.500
N1 0.500 0.500 0.000
F1 0.000 0.500 0.500
F2 0.500 0.000 0.500